(1)
# Ba2BiTe | the Alexandria database | PBE-GGA | relaxed
data_Ba2BiTe
_cell_length_a 4.769
_cell_length_b 4.769
_cell_length_c 9.639
_cell_angle_alpha 75.68
_cell_angle_beta 75.68
_cell_angle_gamma 60.00
_space_group_name_H-M_alt 'P 1'
_space_group_IT_number 1
loop_
_space_group_symop_operation_xyz
'x,y,z'
loop_
_atom_site_label
_atom_site_type_symbol
_atom_site_fract_x
_atom_site_fract_y
_atom_site_fract_z
Bi1 Bi 0.667 0.667 0.998
Ba1 Ba 0.246 0.246 0.261
Ba2 Ba 0.087 0.087 0.739
Te1 Te 0.499 0.499 0.502
# energy relative to the lowest polymorph listed for this composition = 109 meV per atom
# symmetry = R3m, No. 160
# formation energy without anion corrections = -1.14 eV/atom
# total DFT energy (no corrections) = -3.859 eV per atom
# V = 182.0 Å³/cell

(2)
# BaBiTe3 | the Alexandria database | PBE-GGA | relaxed
data_BaBiTe3
_cell_length_a 4.776
_cell_length_b 8.874
_cell_length_c 9.137
_cell_angle_alpha 88.32
_cell_angle_beta 90.00
_cell_angle_gamma 90.00
_space_group_name_H-M_alt 'P 1'
_space_group_IT_number 1
loop_
_space_group_symop_operation_xyz
'x,y,z'
loop_
_atom_site_label
_atom_site_type_symbol
_atom_site_fract_x
_atom_site_fract_y
_atom_site_fract_z
Bi1 Bi 0.750 0.150 0.660
Bi2 Bi 0.250 0.850 0.340
Te1 Te 0.250 0.893 0.693
Te2 Te 0.750 0.628 0.397
Te3 Te 0.750 0.107 0.307
Te4 Te 0.250 0.776 0.010
Te5 Te 0.250 0.372 0.603
Te6 Te 0.750 0.224 0.990
Ba1 Ba 0.250 0.398 0.212
Ba2 Ba 0.750 0.602 0.788
# symmetry = P2_1/m, No. 11
# formation energy without anion corrections = -0.72 eV/atom
# total DFT energy (no corrections) = -3.762 eV per atom
# V = 387.1 Å³/cell

Q: What is the V in the second record?
A: 387.1 Å³/cell

What did the first record say?
# Ba2BiTe | the Alexandria database | PBE-GGA | relaxed
data_Ba2BiTe
_cell_length_a 4.769
_cell_length_b 4.769
_cell_length_c 9.639
_cell_angle_alpha 75.68
_cell_angle_beta 75.68
_cell_angle_gamma 60.00
_space_group_name_H-M_alt 'P 1'
_space_group_IT_number 1
loop_
_space_group_symop_operation_xyz
'x,y,z'
loop_
_atom_site_label
_atom_site_type_symbol
_atom_site_fract_x
_atom_site_fract_y
_atom_site_fract_z
Bi1 Bi 0.667 0.667 0.998
Ba1 Ba 0.246 0.246 0.261
Ba2 Ba 0.087 0.087 0.739
Te1 Te 0.499 0.499 0.502
# energy relative to the lowest polymorph listed for this composition = 109 meV per atom
# symmetry = R3m, No. 160
# formation energy without anion corrections = -1.14 eV/atom
# total DFT energy (no corrections) = -3.859 eV per atom
# V = 182.0 Å³/cell

Q: Look up the formation energy without anion corrections of the second one.
A: -0.72 eV/atom